No. 1
A plane-wave DFT calculation with GGA-PBE was carried out for a relaxed Ta2Nb2W crystal.

a = 5.264 Å, b = 5.264 Å, c = 7.489 Å
α = 103.48°, β = 103.48°, γ = 105.47°
Fractional coordinates of all 10 atoms:
Ta (0.091, 0.091, 0.368)
Ta (0.240, 0.240, 0.065)
Ta (0.760, 0.760, 0.935)
Ta (0.909, 0.909, 0.632)
Nb (0.161, 0.539, 0.793)
Nb (0.461, 0.839, 0.207)
Nb (0.539, 0.161, 0.793)
Nb (0.839, 0.461, 0.207)
W (0.329, 0.671, 0.500)
W (0.671, 0.329, 0.500)

No. 2
A plane-wave DFT calculation with GGA-PBE was carried out for a relaxed Ta2Nb8W crystal.

a = 7.753 Å, b = 7.753 Å, c = 5.251 Å
α = 94.70°, β = 94.70°, γ = 41.32°
Fractional coordinates of all 11 atoms:
Ta (0.240, 0.240, 0.373)
Ta (0.760, 0.760, 0.627)
Nb (0.080, 0.080, 0.115)
Nb (0.164, 0.654, 0.379)
Nb (0.297, 0.297, 0.882)
Nb (0.346, 0.836, 0.621)
Nb (0.654, 0.164, 0.379)
Nb (0.703, 0.703, 0.118)
Nb (0.836, 0.346, 0.621)
Nb (0.920, 0.920, 0.885)
W (0.500, 0.500, 0.000)

Results for E_tot: -11.060, -10.374 (in eV per atom, following the order of the records).
Results for formation enthalpy at 0 K: 28.9, 27.2 (in kJ/mol of atoms, following the order of the records).
Results for total moment: 0.0000, 0.0000 (in μB per atom, following the order of the records).